A relaxed structure of LiPm2CuS4, computed with PBE.

## Properties
* formation energy from raw total energies: -1.48 eV per atom
* symmetry: P2/m

Lattice parameters (Å, degrees): 6.574 3.960 7.079 90.00 114.31 90.00
Fractional positions:
Li 0.000 0.000 0.000
Pm 0.500 0.000 0.500
Pm 0.500 0.500 0.000
Cu 0.000 0.500 0.500
S 0.230 0.000 0.728
S 0.242 0.500 0.232
S 0.758 0.500 0.768
S 0.770 0.000 0.272